Entry from Alexandria: a geometry-optimized ZrCdIr2 structure (GGA-PBE).

Structure (extended XYZ):
```
4
Lattice="-8.3040 -5.1251 1.5396 -7.2359 -5.2428 4.2127 -8.7947 -2.9663 3.3833" Properties=species:S:1:pos:R:3 pbc="T T T"
Cd -18.1094 -9.9231 6.7985
Ir -24.2126 -13.2673 9.0898
Ir -6.2211 -3.4089 2.3355
Zr -12.2935 -6.7362 4.6151
```

- formation energy from the elements (eV per formula unit) = 0.4
- symmetry = No. 160
- electronic total energy (eV per atom) = -6.696